Entry 1:
First-principles (PBEsol) data for an optimized crystal structure of SiRh2Se, as listed in Alexandria via LeMat-Bulk.

Geometry as extended XYZ:
```
4
Lattice="2.827 0.000 0.000 1.414 4.840 0.049 1.414 2.152 4.336" Properties=species:S:1:pos:R:3 pbc="T T T"
Se 1.414 3.496 2.192
Rh 2.827 1.612 1.011
Rh 2.827 5.380 3.374
Si 1.414 0.000 0.000
```

Calculated values
electronic total energy: -6.560 eV/atom
density: 8.8 g cm⁻³
E_form (uncorrected): -0.092 eV/atom


Entry 2:
First-principles (PBEsol) data for an optimized crystal structure of RbSiNO2, as listed in Alexandria via LeMat-Bulk.

Geometry as extended XYZ:
```
5
Lattice="-0.951 1.606 -3.871 2.916 -2.598 -1.794 -3.087 -3.101 -0.528" Properties=species:S:1:pos:R:3 pbc="T T T"
O 1.458 -1.299 -0.897
O -0.476 0.803 -1.936
N -1.544 -1.550 -0.264
Si -0.561 -2.046 -3.097
Rb 0.000 0.000 0.000
```

Calculated values
electronic total energy: -3.262 eV/atom
density: 3.3 g cm⁻³
E_form (uncorrected): 1.897 eV/atom


Entry 3:
First-principles (PBEsol) data for an optimized crystal structure of NbReB2Au, as listed in Alexandria via LeMat-Bulk.

Geometry as extended XYZ:
```
5
Lattice="4.163 0.000 0.000 0.000 4.163 0.000 0.000 0.000 4.907" Properties=species:S:1:pos:R:3 pbc="T T T"
Au 2.082 2.082 2.454
B 2.082 0.000 0.000
B 0.000 2.082 0.000
Nb 0.000 0.000 0.000
Re 0.000 0.000 2.454
```

Calculated values
electronic total energy: -6.409 eV/atom
density: 9.7 g cm⁻³
formation energy from the elements: 2013 meV/atom


Entry 4:
First-principles (PBEsol) data for an optimized crystal structure of SrCaCo2, as listed in Alexandria via LeMat-Bulk.

Geometry as extended XYZ:
```
4
Lattice="-2.405 1.451 4.011 -0.246 -4.684 -1.442 2.250 -3.480 2.608" Properties=species:S:1:pos:R:3 pbc="T T T"
Co -0.239 -3.864 4.243
Co -0.162 -2.849 0.934
Ca 0.000 0.000 0.000
Sr -0.078 -1.014 3.309
```

Calculated values
electronic total energy: -4.165 eV/atom
density: 4.9 g cm⁻³
formation energy from the elements: 697 meV/atom


Entry 5:
First-principles (PBEsol) data for an optimized crystal structure of Na2LaGaAu, as listed in Alexandria via LeMat-Bulk.

Geometry as extended XYZ:
```
5
Lattice="-0.262 1.378 4.622 4.007 -3.111 1.155 3.306 3.897 -0.975" Properties=species:S:1:pos:R:3 pbc="T T T"
Na 2.004 -1.555 0.577
Na 1.653 1.949 -0.488
Ga 0.000 0.000 0.000
Au -0.131 0.689 2.311
La 3.526 1.082 2.401
```

Calculated values
electronic total energy: -2.954 eV/atom
density: 5.7 g cm⁻³
formation energy from the elements: 128 meV/atom


Entry 6:
First-principles (PBEsol) data for an optimized crystal structure of Li3Rh, as listed in Alexandria via LeMat-Bulk.

Geometry as extended XYZ:
```
4
Lattice="-2.072 1.300 0.699 -1.655 -3.658 1.897 2.188 1.208 4.237" Properties=species:S:1:pos:R:3 pbc="T T T"
Li -0.092 -0.202 4.728
Li 0.051 1.250 2.454
Li 0.103 0.057 0.200
Rh -0.142 -1.451 2.275
```

Calculated values
electronic total energy: -3.538 eV/atom
density: 3.7 g cm⁻³
formation energy from the elements: -28 meV/atom


Entry 7:
First-principles (PBEsol) data for an optimized crystal structure of TaTc, as listed in Alexandria via LeMat-Bulk.

Geometry as extended XYZ:
```
6
Lattice="-1.025 -0.685 -2.906 5.248 -0.059 -0.122 -1.916 -5.653 2.009" Properties=species:S:1:pos:R:3 pbc="T T T"
Tc 2.673 -0.879 -0.735
Tc 1.720 -3.697 0.265
Tc 3.148 -3.240 -2.061
Ta -0.683 -4.824 -0.336
Ta 2.067 -6.042 -1.018
Ta 0.320 -2.065 -1.340
```

Calculated values
electronic total energy: -12.166 eV/atom
density: 14.7 g cm⁻³
formation energy from the elements: -258 meV/atom


Entry 8:
First-principles (PBEsol) data for an optimized crystal structure of CdIr2, as listed in Alexandria via LeMat-Bulk.

Geometry as extended XYZ:
```
3
Lattice="2.761 0.000 0.000 0.000 3.835 0.000 -1.381 -1.917 4.522" Properties=species:S:1:pos:R:3 pbc="T T T"
Cd 0.000 0.000 0.000
Ir 0.000 0.000 2.830
Ir 1.381 1.917 1.692
```

Calculated values
electronic total energy: -6.627 eV/atom
density: 17.2 g cm⁻³
formation energy from the elements: 321 meV/atom


Entry 9:
First-principles (PBEsol) data for an optimized crystal structure of EuSbPd, as listed in Alexandria via LeMat-Bulk.

Geometry as extended XYZ:
```
12
Lattice="4.645 0.000 0.000 0.000 7.455 0.000 0.000 0.000 7.865" Properties=species:S:1:pos:R:3 pbc="T T T"
Sb 1.161 1.452 0.728
Sb 1.161 5.179 3.204
Sb 3.484 6.003 7.136
Sb 3.484 2.276 4.661
Eu 3.484 3.676 1.580
Eu 3.484 7.403 2.352
Eu 1.161 3.779 6.285
Eu 1.161 0.052 5.512
Pd 1.161 2.329 3.296
Pd 3.484 1.399 7.228
Pd 1.161 6.056 0.637
Pd 3.484 5.126 4.569
```

Calculated values
electronic total energy: -8.037 eV/atom
density: 9.3 g cm⁻³
E_form (uncorrected): -1.011 eV/atom


Entry 10:
First-principles (PBEsol) data for an optimized crystal structure of YCr2Rh, as listed in Alexandria via LeMat-Bulk.

Geometry as extended XYZ:
```
4
Lattice="-2.716 -0.686 -1.018 1.174 -0.730 -2.640 0.824 -6.453 2.150" Properties=species:S:1:pos:R:3 pbc="T T T"
Rh 0.375 -2.940 0.979
Cr -0.586 -2.156 -1.347
Cr 0.056 -0.442 0.147
Y -0.152 -5.558 -0.213
```

Calculated values
electronic total energy: -8.715 eV/atom
density: 8.1 g cm⁻³
formation energy from the elements: 146 meV/atom


Entry 11:
First-principles (PBEsol) data for an optimized crystal structure of Sr6CaY2TiCu6Hg2O20, as listed in Alexandria via LeMat-Bulk.

Geometry as extended XYZ:
```
38
Lattice="-3.042 1.844 1.082 -6.556 -7.914 -4.949 -0.157 -6.202 10.127" Properties=species:S:1:pos:R:3 pbc="T T T"
Cu -1.149 -3.590 2.886
Cu -5.564 -10.526 2.292
Cu -3.336 -6.226 1.230
Cu -3.378 -7.890 3.948
Cu -5.522 -8.869 -0.415
Cu -1.191 -5.247 5.593
O -4.466 -9.138 3.014
O -5.601 -11.755 4.283
O -4.859 -5.378 1.892
O -3.411 -9.179 6.053
O -1.113 -2.361 0.895
O -4.055 -2.137 -1.372
O -4.897 -6.894 4.367
O -2.247 -4.979 2.164
O -7.009 -7.959 0.241
O -0.099 -3.917 6.396
O -5.497 -7.653 -2.414
O -0.058 -2.285 3.731
O -4.427 -7.610 0.519
O -7.049 -9.508 2.771
O -2.746 -4.314 6.018
O -5.543 -3.934 -2.495
O -2.707 -2.765 3.489
O -1.217 -6.463 7.592
O -2.286 -6.506 4.659
O -3.303 -4.937 -0.875
Sr -1.556 -0.465 2.805
Sr -5.895 -5.598 -0.648
Sr -5.987 -9.242 5.303
Sr -3.768 -3.030 0.957
Sr -1.643 -3.893 8.403
Sr -3.861 -6.675 6.908
Hg -1.124 -1.356 -0.848
Hg -5.432 -6.558 -4.101
Ti -3.278 -3.957 -2.474
Ca -1.600 -2.179 5.604
Y -5.980 -7.467 2.298
Y -3.776 -4.806 3.962
```

Calculated values
electronic total energy: -6.410 eV/atom
density: 6.2 g cm⁻³
E_form (uncorrected): -2.008 eV/atom


Entry 12:
First-principles (PBEsol) data for an optimized crystal structure of CaIn2Pt, as listed in Alexandria via LeMat-Bulk.

Geometry as extended XYZ:
```
4
Lattice="-2.599 3.418 2.380 -4.578 1.043 -1.433 -3.810 -1.321 2.800" Properties=species:S:1:pos:R:3 pbc="T T T"
Pt -2.747 0.785 0.937
In 0.000 0.000 0.000
In -8.240 2.355 2.811
Ca -5.494 1.570 1.874
```

Calculated values
electronic total energy: -4.195 eV/atom
density: 9.2 g cm⁻³
formation energy from the elements: -430 meV/atom


Entry 13:
First-principles (PBEsol) data for an optimized crystal structure of ZnSbRh3, as listed in Alexandria via LeMat-Bulk.

Geometry as extended XYZ:
```
5
Lattice="4.718 0.000 0.000 0.000 4.718 0.000 0.000 0.000 4.718" Properties=species:S:1:pos:R:3 pbc="T T T"
Sb 0.000 0.000 0.000
Rh 0.000 2.359 0.000
Rh 0.000 0.000 2.359
Rh 2.359 0.000 0.000
Zn 2.359 2.359 2.359
```

Calculated values
electronic total energy: -5.089 eV/atom
density: 7.8 g cm⁻³
E_form (uncorrected): 1.022 eV/atom


Entry 14:
First-principles (PBEsol) data for an optimized crystal structure of SrCrW3, as listed in Alexandria via LeMat-Bulk.

Geometry as extended XYZ:
```
5
Lattice="-0.981 3.407 -2.967 1.347 -2.678 -3.520 -4.313 -1.611 -0.425" Properties=species:S:1:pos:R:3 pbc="T T T"
W -0.490 1.704 -1.484
W -2.156 -0.806 -0.212
W 0.674 -1.339 -1.760
Sr -1.973 -0.441 -3.456
Cr 0.000 0.000 0.000
```

Calculated values
electronic total energy: -9.200 eV/atom
density: 11.6 g cm⁻³
formation energy from the elements: 1501 meV/atom


Entry 15:
First-principles (PBEsol) data for an optimized crystal structure of CaLaTe2S, as listed in Alexandria via LeMat-Bulk.

Geometry as extended XYZ:
```
5
Lattice="-4.406 -0.906 -3.541 -2.707 -2.919 4.114 -6.839 13.476 5.063" Properties=species:S:1:pos:R:3 pbc="T T T"
La 0.000 0.000 0.000
Te -1.353 -1.460 2.057
Te -2.203 -0.453 -1.771
Ca -3.420 6.738 2.531
S -6.976 4.826 2.817
```

Calculated values
electronic total energy: -3.543 eV/atom
density: 1.5 g cm⁻³
E_form (uncorrected): 0.241 eV/atom


Entry 16:
First-principles (PBEsol) data for an optimized crystal structure of LiReRu2, as listed in Alexandria via LeMat-Bulk.

Geometry as extended XYZ:
```
4
Lattice="-2.880 2.276 2.036 -1.999 -1.624 3.315 0.811 1.448 3.856" Properties=species:S:1:pos:R:3 pbc="T T T"
Ru -1.017 0.525 2.302
Ru -3.051 1.575 6.905
Re -2.034 1.050 4.604
Li 0.000 0.000 0.000
```

Calculated values
electronic total energy: -8.850 eV/atom
density: 12.5 g cm⁻³
formation energy from the elements: 61 meV/atom


Entry 17:
First-principles (PBEsol) data for an optimized crystal structure of ZnAsBr, as listed in Alexandria via LeMat-Bulk.

Geometry as extended XYZ:
```
3
Lattice="4.548 0.000 0.000 2.274 3.938 0.000 2.274 1.313 3.713" Properties=species:S:1:pos:R:3 pbc="T T T"
Br 4.548 2.626 1.857
Zn 2.274 1.313 0.928
As 0.000 0.000 0.000
```

Calculated values
electronic total energy: -2.425 eV/atom
density: 5.5 g cm⁻³
E_form (uncorrected): 0.427 eV/atom


Entry 18:
First-principles (PBEsol) data for an optimized crystal structure of Mn2BeCu, as listed in Alexandria via LeMat-Bulk.

Geometry as extended XYZ:
```
4
Lattice="-1.250 0.432 2.471 -3.241 -0.327 -1.582 0.049 -3.905 0.708" Properties=species:S:1:pos:R:3 pbc="T T T"
Cu -1.596 -2.116 -0.437
Be -0.600 -1.736 1.589
Mn -2.245 0.052 0.444
Mn 0.000 0.000 0.000
```

Calculated values
electronic total energy: -6.821 eV/atom
density: 7.5 g cm⁻³
formation energy from the elements: 144 meV/atom


Entry 19:
First-principles (PBEsol) data for an optimized crystal structure of TaAuSe2, as listed in Alexandria via LeMat-Bulk.

Geometry as extended XYZ:
```
8
Lattice="6.079 0.000 0.000 -3.040 6.078 0.019 0.000 3.023 5.274" Properties=species:S:1:pos:R:3 pbc="T T T"
Se 1.520 1.941 0.740
Se -1.433 7.204 4.629
Se 4.559 3.366 3.225
Se 1.433 5.692 1.992
Ta 0.000 3.795 1.328
Ta 3.040 1.512 2.637
Au 3.040 5.306 3.965
Au 0.000 0.000 0.000
```

Calculated values
electronic total energy: -5.920 eV/atom
density: 9.1 g cm⁻³
E_form (uncorrected): 0.124 eV/atom


Entry 20:
First-principles (PBEsol) data for an optimized crystal structure of Sr2CoRe, as listed in Alexandria via LeMat-Bulk.

Geometry as extended XYZ:
```
4
Lattice="-1.153 0.955 -2.801 -1.832 -2.779 -0.194 -6.850 4.217 4.259" Properties=species:S:1:pos:R:3 pbc="T T T"
Sr -6.339 3.903 3.942
Sr -3.750 0.478 -0.093
Re -6.058 1.899 1.341
Co -3.962 2.440 2.464
```

Calculated values
electronic total energy: -5.578 eV/atom
density: 7.2 g cm⁻³
formation energy from the elements: 609 meV/atom